## P
VASP calculation (PBE-GGA) on crystalline KTiFe2 at its relaxed geometry.

The calculation puts the density of states at the Fermi level at 19.48 states/eV per cell. As for the volume: 25.03 A^3/atom. For the total magnetization, the calculation gives 3.0 μB/f.u.

The space group is I4_1/amd (No. 141, origin choice 2) and the conventional cell measures 4.925, 4.925 and 16.510 Å, with angles of 90.00, 90.00 and 90.00 degrees. The asymmetric unit holds K at (0.000, 0.250, 0.375), Ti at (0.000, 0.250, 0.875) and Fe at (0.000, 0.000, 0.000).

## Q
VASP calculation (PBE-GGA) on crystalline KTiFe2 at its relaxed geometry.

The calculation puts the density of states at the Fermi level at 10.01 states/eV per cell. As for the volume: 18.49 A^3/atom. For the total magnetization, the calculation gives 3.2 μB/f.u.

The space group is Fm-3m (No. 225) and the conventional cell measures 6.663, 6.663 and 6.663 Å, with angles of 90.00, 90.00 and 90.00 degrees. The asymmetric unit holds K at (0.000, 0.000, 0.000), Ti at (0.000, 0.000, 0.500) and Fe at (0.250, 0.250, 0.250).

Each structure's energy above the most stable one, in eV/atom: P 0.000; Q 0.025.